# CeTl GGA-PBEsol optimized geometry
# Magnetization, μB per formula unit: 0.8
# D(E_F), states/eV per cell: 5.46
# Calculated total energy, eV/atom: -4.86
# Crystal system: tetragonal
# Energy of formation, eV/atom: -0.25
data_CeTl
_chemical_formula_sum 'Ce1 Tl1'
_symmetry_space_group_name_H-M 'P 4/m m m'
_symmetry_Int_Tables_number 123
_symmetry_space_group_name_Hall '-P 4 2'
_cell_length_a 3.348
_cell_length_b 3.348
_cell_length_c 4.656
_cell_angle_alpha 90.00
_cell_angle_beta 90.00
_cell_angle_gamma 90.00
loop_
_atom_site_label
_atom_site_type_symbol
_atom_site_fract_x
_atom_site_fract_y
_atom_site_fract_z
_atom_site_occupancy
Ce1 Ce 0.000 0.000 0.000 1
Tl1 Tl 0.500 0.500 0.500 1

# ScHgO3 GGA-PBEsol optimized geometry
# Magnetization, μB per formula unit: 1.1
# D(E_F), states/eV per cell: 3.97
# Calculated total energy, eV/atom: -5.94
# Crystal system: cubic
data_ScHgO3
_chemical_formula_sum 'Sc1 Hg1 O3'
_symmetry_space_group_name_H-M 'P m -3 m'
_symmetry_Int_Tables_number 221
_symmetry_space_group_name_Hall '-P 4 2 3'
_cell_length_a 4.057
_cell_length_b 4.057
_cell_length_c 4.057
_cell_angle_alpha 90.00
_cell_angle_beta 90.00
_cell_angle_gamma 90.00
loop_
_atom_site_label
_atom_site_type_symbol
_atom_site_fract_x
_atom_site_fract_y
_atom_site_fract_z
_atom_site_occupancy
Sc1 Sc 0.000 0.000 0.000 1
Hg1 Hg 0.500 0.500 0.500 1
O1 O 0.000 0.000 0.500 1

# La4CePd15 GGA-PBEsol optimized geometry
# Magnetization, μB per formula unit: 0.1
# D(E_F), states/eV per cell: 4.95
# Calculated total energy, eV/atom: -6.67
# Crystal system: tetragonal
# Energy of formation, eV/atom: -0.80
data_La4CePd15
_chemical_formula_sum 'La4 Ce1 Pd15'
_symmetry_space_group_name_H-M 'P 4/m m m'
_symmetry_Int_Tables_number 123
_symmetry_space_group_name_Hall '-P 4 2'
_cell_length_a 4.128
_cell_length_b 4.128
_cell_length_c 20.662
_cell_angle_alpha 90.00
_cell_angle_beta 90.00
_cell_angle_gamma 90.00
loop_
_atom_site_label
_atom_site_type_symbol
_atom_site_fract_x
_atom_site_fract_y
_atom_site_fract_z
_atom_site_occupancy
La1 La 0.000 0.000 0.100 1
La2 La 0.000 0.000 0.301 1
Ce1 Ce 0.000 0.000 0.500 1
Pd1 Pd 0.000 0.500 0.000 1
Pd2 Pd 0.000 0.500 0.202 1
Pd3 Pd 0.000 0.500 0.405 1
Pd4 Pd 0.500 0.500 0.101 1
Pd5 Pd 0.500 0.500 0.303 1
Pd6 Pd 0.500 0.500 0.500 1

# Zr2HgPt GGA-PBEsol optimized geometry
# Magnetization, μB per formula unit: 0.0
# D(E_F), states/eV per cell: 3.37
# Calculated total energy, eV/atom: -7.01
# Crystal system: orthorhombic
# Energy of formation, eV/atom: -0.58
data_Zr2HgPt
_chemical_formula_sum 'Zr2 Hg1 Pt1'
_symmetry_space_group_name_H-M 'P m m m'
_symmetry_Int_Tables_number 47
_cell_length_a 2.920
_cell_length_b 3.993
_cell_length_c 6.554
_cell_angle_alpha 90.00
_cell_angle_beta 90.00
_cell_angle_gamma 90.00
loop_
_symmetry_equiv_pos_as_xyz
'x,y,z'
'-x,-y,-z'
'-x,-y,z'
'x,y,-z'
'x,-y,-z'
'-x,y,z'
'-x,y,-z'
'x,-y,z'
loop_
_atom_site_label
_atom_site_type_symbol
_atom_site_fract_x
_atom_site_fract_y
_atom_site_fract_z
_atom_site_occupancy
Zr1 Zr 0.000 0.000 0.234 1
Hg1 Hg 0.500 0.500 0.500 1
Pt1 Pt 0.500 0.500 0.000 1

# Au3CCl GGA-PBEsol optimized geometry
# Magnetization, μB per formula unit: 2.2
# D(E_F), states/eV per cell: 2.11
# Calculated total energy, eV/atom: -2.40
# Crystal system: cubic
data_Au3CCl
_chemical_formula_sum 'Au3 C1 Cl1'
_symmetry_space_group_name_H-M 'P m -3 m'
_symmetry_Int_Tables_number 221
_symmetry_space_group_name_Hall '-P 4 2 3'
_cell_length_a 4.801
_cell_length_b 4.801
_cell_length_c 4.801
_cell_angle_alpha 90.00
_cell_angle_beta 90.00
_cell_angle_gamma 90.00
loop_
_atom_site_label
_atom_site_type_symbol
_atom_site_fract_x
_atom_site_fract_y
_atom_site_fract_z
_atom_site_occupancy
Au1 Au 0.000 0.000 0.500 1
C1 C 0.500 0.500 0.500 1
Cl1 Cl 0.000 0.000 0.000 1

# K3SI GGA-PBEsol optimized geometry
# Magnetization, μB per formula unit: 0.0
# Energy above the lowest structure with this stoichiometry, eV/atom: 0.000
# D(E_F), states/eV per cell: 0.00
# Calculated total energy, eV/atom: -3.06
# Crystal system: cubic
data_K3SI
_chemical_formula_sum 'K3 S1 I1'
_symmetry_space_group_name_H-M 'P m -3 m'
_symmetry_Int_Tables_number 221
_symmetry_space_group_name_Hall '-P 4 2 3'
_cell_length_a 5.926
_cell_length_b 5.926
_cell_length_c 5.926
_cell_angle_alpha 90.00
_cell_angle_beta 90.00
_cell_angle_gamma 90.00
loop_
_atom_site_label
_atom_site_type_symbol
_atom_site_fract_x
_atom_site_fract_y
_atom_site_fract_z
_atom_site_occupancy
K1 K 0.000 0.000 0.500 1
S1 S 0.000 0.000 0.000 1
I1 I 0.500 0.500 0.500 1

# NaMn3Ge GGA-PBEsol optimized geometry
# Magnetization, μB per formula unit: 11.4
# D(E_F), states/eV per cell: 5.04
# Calculated total energy, eV/atom: -5.27
# Crystal system: cubic
# Energy of formation, eV/atom: 1.85
data_NaMn3Ge
_chemical_formula_sum 'Na1 Mn3 Ge1'
_symmetry_space_group_name_H-M 'P m -3 m'
_symmetry_Int_Tables_number 221
_symmetry_space_group_name_Hall '-P 4 2 3'
_cell_length_a 4.538
_cell_length_b 4.538
_cell_length_c 4.538
_cell_angle_alpha 90.00
_cell_angle_beta 90.00
_cell_angle_gamma 90.00
loop_
_atom_site_label
_atom_site_type_symbol
_atom_site_fract_x
_atom_site_fract_y
_atom_site_fract_z
_atom_site_occupancy
Na1 Na 0.000 0.000 0.000 1
Mn1 Mn 0.000 0.000 0.500 1
Ge1 Ge 0.500 0.500 0.500 1

# K2BeFe GGA-PBEsol optimized geometry
# Magnetization, μB per formula unit: 2.3
# D(E_F), states/eV per cell: 2.57
# Calculated total energy, eV/atom: -2.44
# Crystal system: orthorhombic
# Energy of formation, eV/atom: 1.37
data_K2BeFe
_chemical_formula_sum 'K2 Be1 Fe1'
_symmetry_space_group_name_H-M 'P m m m'
_symmetry_Int_Tables_number 47
_cell_length_a 4.186
_cell_length_b 4.197
_cell_length_c 5.347
_cell_angle_alpha 90.00
_cell_angle_beta 90.00
_cell_angle_gamma 90.00
loop_
_symmetry_equiv_pos_as_xyz
'x,y,z'
'-x,-y,-z'
'-x,-y,z'
'x,y,-z'
'x,-y,-z'
'-x,y,z'
'-x,y,-z'
'x,-y,z'
loop_
_atom_site_label
_atom_site_type_symbol
_atom_site_fract_x
_atom_site_fract_y
_atom_site_fract_z
_atom_site_occupancy
K1 K 0.000 0.000 0.000 1
K2 K 0.500 0.500 0.000 1
Be1 Be 0.000 0.500 0.500 1
Fe1 Fe 0.500 0.000 0.500 1

# BaCdNiOs2 GGA-PBEsol optimized geometry
# Magnetization, μB per formula unit: 1.6
# D(E_F), states/eV per cell: 6.95
# Calculated total energy, eV/atom: -3.79
# Crystal system: tetragonal
# Energy of formation, eV/atom: 3.00
data_BaCdNiOs2
_chemical_formula_sum 'Ba1 Cd1 Ni1 Os2'
_symmetry_space_group_name_H-M 'P 4/m m m'
_symmetry_Int_Tables_number 123
_symmetry_space_group_name_Hall '-P 4 2'
_cell_length_a 5.028
_cell_length_b 5.028
_cell_length_c 4.668
_cell_angle_alpha 90.00
_cell_angle_beta 90.00
_cell_angle_gamma 90.00
loop_
_atom_site_label
_atom_site_type_symbol
_atom_site_fract_x
_atom_site_fract_y
_atom_site_fract_z
_atom_site_occupancy
Ba1 Ba 0.000 0.000 0.000 1
Cd1 Cd 0.500 0.500 0.500 1
Ni1 Ni 0.000 0.000 0.500 1
Os1 Os 0.000 0.500 0.000 1

# Be4CrRu GGA-PBEsol optimized geometry
# Magnetization, μB per formula unit: 0.0
# D(E_F), states/eV per cell: 12.16
# Calculated total energy, eV/atom: -6.38
# Crystal system: cubic
# Energy of formation, eV/atom: -0.31
data_Be4CrRu
_chemical_formula_sum 'Be16 Cr4 Ru4'
_symmetry_space_group_name_H-M 'F -4 3 m'
_symmetry_Int_Tables_number 216
_symmetry_space_group_name_Hall 'F -4 2 3'
_cell_length_a 5.976
_cell_length_b 5.976
_cell_length_c 5.976
_cell_angle_alpha 90.00
_cell_angle_beta 90.00
_cell_angle_gamma 90.00
loop_
_atom_site_label
_atom_site_type_symbol
_atom_site_fract_x
_atom_site_fract_y
_atom_site_fract_z
_atom_site_occupancy
Be1 Be 0.124 0.124 0.376 1
Cr1 Cr 0.250 0.250 0.750 1
Ru1 Ru 0.000 0.000 0.000 1

# Cu8O7 GGA-PBEsol optimized geometry
# Magnetization, μB per formula unit: 0.6
# Energy above the lowest structure with this stoichiometry, eV/atom: 0.016
# D(E_F), states/eV per cell: 19.99
# Calculated total energy, eV/atom: -5.24
# Crystal system: monoclinic
data_Cu8O7
_chemical_formula_sum 'Cu16 O14'
_symmetry_space_group_name_H-M 'C 1 2 1'
_symmetry_Int_Tables_number 5
_cell_length_a 8.107
_cell_length_b 8.097
_cell_length_c 6.417
_cell_angle_alpha 90.00
_cell_angle_beta 128.76
_cell_angle_gamma 90.00
loop_
_symmetry_equiv_pos_as_xyz
'x,y,z'
'-x,y,-z'
'x+1/2,y+1/2,z'
'-x+1/2,y+1/2,-z'
loop_
_atom_site_label
_atom_site_type_symbol
_atom_site_fract_x
_atom_site_fract_y
_atom_site_fract_z
_atom_site_occupancy
Cu1 Cu 0.007 0.000 0.259 1
Cu2 Cu 0.008 0.500 0.772 1
Cu3 Cu 0.239 0.746 0.230 1
Cu4 Cu 0.248 0.745 0.741 1
O1 O 0.000 0.123 0.000 1
O2 O 0.000 0.373 0.500 1
O3 O 0.000 0.871 0.500 1
O4 O 0.236 0.622 0.470 1
O5 O 0.246 0.874 0.990 1

# TcP2Pb GGA-PBEsol optimized geometry
# Magnetization, μB per formula unit: 0.0
# D(E_F), states/eV per cell: 2.59
# Calculated total energy, eV/atom: -6.64
# Crystal system: monoclinic
# Energy of formation, eV/atom: 0.07
data_TcP2Pb
_chemical_formula_sum 'Tc1 P2 Pb1'
_symmetry_space_group_name_H-M 'P 1 m 1'
_symmetry_Int_Tables_number 6
_cell_length_a 3.940
_cell_length_b 3.226
_cell_length_c 6.102
_cell_angle_alpha 90.00
_cell_angle_beta 106.43
_cell_angle_gamma 90.00
loop_
_symmetry_equiv_pos_as_xyz
'x,y,z'
'x,-y,z'
loop_
_atom_site_label
_atom_site_type_symbol
_atom_site_fract_x
_atom_site_fract_y
_atom_site_fract_z
_atom_site_occupancy
Tc1 Tc 0.000 0.000 0.000 1
P1 P 0.570 0.000 0.236 1
P2 P 0.969 0.500 0.280 1
Pb1 Pb 0.379 0.500 0.739 1

Which value of calculated total energy does entry 12 give?
-6.64 eV/atom